(1)
LaCo2Hg2 (PBE-GGA, relaxed); VASP energy = -39.40 eV for the cell shown
1.0
4.344 0.000 0.000
0.000 4.344 0.000
0.000 0.000 10.961
La Co Hg
2 4 4
direct
0.000 0.000 0.000
0.500 0.500 0.500
0.000 0.000 0.402
0.000 0.000 0.598
0.500 0.500 0.098
0.500 0.500 0.902
0.000 0.500 0.250
0.000 0.500 0.750
0.500 0.000 0.250
0.500 0.000 0.750

(2)
Mg6In3Hg (PBE-GGA, relaxed); VASP energy = -37.57 eV for the cell shown
1.0
12.152 0.000 0.000
0.000 3.317 0.000
-5.496 0.000 11.695
Mg In Hg
12 6 2
direct
0.049 0.250 0.405
0.114 0.750 0.987
0.158 0.250 0.787
0.280 0.750 0.419
0.294 0.250 0.216
0.435 0.250 0.820
0.565 0.750 0.180
0.706 0.750 0.784
0.720 0.250 0.581
0.842 0.750 0.213
0.886 0.250 0.013
0.951 0.750 0.595
0.223 0.750 0.622
0.353 0.250 0.016
0.479 0.250 0.604
0.521 0.750 0.396
0.647 0.750 0.984
0.777 0.250 0.378
0.075 0.750 0.200
0.925 0.250 0.800